(1)
Entry from Alexandria: a relaxed structure of GaCoPtF2 (PBEsol).

Unit cell a=3.574 b=3.574 c=6.085 alpha=90.00 beta=90.00 gamma=90.00
Space group P4/mmm (No. 123)
One atom of each set of equivalent atoms:
Ga  0.000  0.000  0.000 [1 per cell]
Co  0.000  0.000  0.500 [1 per cell]
Pt  0.500  0.500  0.000 [1 per cell]
F  0.000  0.500  0.500 [2 per cell]

Summary:
* raw formation energy: -0.72 eV per atom
* raw total energy: -5.09 eV/atom
* magnetization: 0.42 μB per atom
* calculated volume: 15.54 A^3/atom

(2)
Entry from Alexandria: a relaxed structure of SrAsAuS2 (PBEsol).

Unit cell a=4.728 b=4.728 c=5.736 alpha=90.00 beta=90.00 gamma=90.00
Space group P4/mmm (No. 123)
One atom of each set of equivalent atoms:
Sr  0.000  0.000  0.000 [1 per cell]
As  0.500  0.500  0.000 [1 per cell]
Au  0.000  0.000  0.500 [1 per cell]
S  0.000  0.500  0.500 [2 per cell]

Summary:
* raw formation energy: 0.16 eV per atom
* raw total energy: -3.77 eV/atom
* magnetization: 0.00 μB per atom
* calculated volume: 25.65 A^3/atom

What is the formula in the first record?
GaCoPtF2